VASP calculation (GGA-PBE) on crystalline InNi2Os at its relaxed geometry.

Cell and atoms, written as POSCAR:
```
InNi2Os
1.0
4.495 0.000 0.000
0.000 4.495 0.000
0.000 0.000 2.756
In Ni Os
1 2 1
Direct
0.000 0.000 0.000 In
0.000 0.500 0.500 Ni
0.500 0.000 0.500 Ni
0.500 0.500 0.000 Os
```

Properties
M_tot ... 0.00 μB per cell
Space-group type ... P4/mmm, No. 123
Energy of formation from the pure elements ... 0.24 eV per atom
Calculated volume ... 13.92 A^3/atom